(1)
The following is a GGA-PBE calculation of a relaxed structure of AlHgTeO, from OQMD via LeMat-Bulk.

Its offset from the most stable computed form is 0.413 eV per atom.

Lattice parameters (Å, degrees): 3.721 3.721 10.992 90.00 90.00 90.00
Sites, in units of the cell vectors:
O  0.750  0.250  0.000
Te  0.750  0.750  0.240
Te  0.250  0.250  0.760
Al  0.250  0.250  0.064
Al  0.750  0.750  0.936
Hg  0.250  0.750  0.500
O  0.250  0.750  0.000
Hg  0.750  0.250  0.500


(2)
The following is a GGA-PBE calculation of a relaxed structure of AlHgOs, from OQMD via LeMat-Bulk.

Its offset from the most stable computed form is 0.000 eV per atom.

Lattice parameters (Å, degrees): 4.249 4.249 4.249 60.00 60.00 60.00
Sites, in units of the cell vectors:
Al  0.000  0.000  0.000
Os  0.750  0.750  0.750
Hg  0.250  0.250  0.250


(3)
The following is a GGA-PBE calculation of a relaxed structure of PaAlHg, from OQMD via LeMat-Bulk.

Its offset from the most stable computed form is 0.214 eV per atom.

Lattice parameters (Å, degrees): 4.931 4.931 4.931 60.00 60.00 60.00
Sites, in units of the cell vectors:
Pa  0.000  0.000  0.000
Al  0.250  0.250  0.250
Hg  0.750  0.750  0.750


(4)
The following is a GGA-PBE calculation of a relaxed structure of PaAlHg, from OQMD via LeMat-Bulk.

Its offset from the most stable computed form is 0.000 eV per atom.

Lattice parameters (Å, degrees): 4.763 4.763 4.763 60.00 60.00 60.00
Sites, in units of the cell vectors:
Al  0.000  0.000  0.000
Pa  0.750  0.750  0.750
Hg  0.250  0.250  0.250


(5)
The following is a GGA-PBE calculation of a relaxed structure of Al2Hg2Pb3, from OQMD via LeMat-Bulk.

Lattice parameters (Å, degrees): 8.752 8.752 8.752 33.96 33.96 33.96
Sites, in units of the cell vectors:
Pb  0.867  0.867  0.867
Hg  0.089  0.089  0.089
Pb  0.351  0.351  0.351
Hg  0.480  0.480  0.480
Al  0.743  0.743  0.743
Al  0.227  0.227  0.227
Pb  0.618  0.618  0.618


(6)
The following is a GGA-PBE calculation of a relaxed structure of PmAlHg, from OQMD via LeMat-Bulk.

Its offset from the most stable computed form is 0.129 eV per atom.

Lattice parameters (Å, degrees): 4.842 4.842 4.842 60.00 60.00 60.00
Sites, in units of the cell vectors:
Al  0.250  0.250  0.250
Hg  0.000  0.000  0.000
Pm  0.750  0.750  0.750


(7)
The following is a GGA-PBE calculation of a relaxed structure of PrAlHg2, from OQMD via LeMat-Bulk.

Lattice parameters (Å, degrees): 4.907 6.747 6.747 119.70 90.00 90.00
Sites, in units of the cell vectors:
Hg  0.750  0.679  0.843
Hg  0.250  0.858  0.173
Hg  0.250  0.843  0.679
Pr  0.250  0.330  0.660
Pr  0.750  0.660  0.330
Hg  0.750  0.173  0.858
Al  0.250  0.298  0.159
Al  0.750  0.159  0.298


(8)
The following is a GGA-PBE calculation of a relaxed structure of PrAlHg, from OQMD via LeMat-Bulk.

Lattice parameters (Å, degrees): 5.067 5.067 5.067 60.00 60.00 60.00
Sites, in units of the cell vectors:
Hg  0.750  0.750  0.750
Pr  0.000  0.000  0.000
Al  0.250  0.250  0.250


(9)
The following is a GGA-PBE calculation of a relaxed structure of PrAlHg2, from OQMD via LeMat-Bulk.

Lattice parameters (Å, degrees): 4.908 6.751 6.751 60.57 90.00 90.00
Sites, in units of the cell vectors:
Hg  0.500  0.842  0.842
Hg  0.000  0.681  0.175
Al  0.500  0.289  0.858
Pr  0.000  0.666  0.666
Al  0.500  0.858  0.289
Hg  0.000  0.158  0.158
Hg  0.000  0.175  0.681
Pr  0.500  0.332  0.332


(10)
The following is a GGA-PBE calculation of a relaxed structure of PrAlHg, from OQMD via LeMat-Bulk.

Lattice parameters (Å, degrees): 6.064 6.064 6.064 134.00 100.94 96.64
Sites, in units of the cell vectors:
Hg  0.268  0.982  0.286
Al  0.118  0.310  0.808
Al  0.503  0.310  0.192
Pr  0.681  0.681  0.000
Pr  0.114  0.614  0.500
Hg  0.697  0.982  0.714


(11)
The following is a GGA-PBE calculation of a relaxed structure of PrAlHg, from OQMD via LeMat-Bulk.

Lattice parameters (Å, degrees): 4.898 4.898 4.898 60.00 60.00 60.00
Sites, in units of the cell vectors:
Al  0.250  0.250  0.250
Pr  0.750  0.750  0.750
Hg  0.000  0.000  0.000


(12)
The following is a GGA-PBE calculation of a relaxed structure of PrAlHg2, from OQMD via LeMat-Bulk.

Lattice parameters (Å, degrees): 6.762 6.762 4.931 90.00 90.00 120.44
Sites, in units of the cell vectors:
Hg  0.820  0.650  0.250
Al  0.647  0.353  0.750
Pr  0.167  0.833  0.750
Hg  0.650  0.820  0.750
Al  0.353  0.647  0.250
Hg  0.180  0.350  0.750
Pr  0.833  0.167  0.250
Hg  0.350  0.180  0.250


(13)
The following is a GGA-PBE calculation of a relaxed structure of AlHgPt, from OQMD via LeMat-Bulk.

Its offset from the most stable computed form is 0.000 eV per atom.

Lattice parameters (Å, degrees): 4.419 4.419 4.419 60.00 60.00 60.00
Sites, in units of the cell vectors:
Pt  0.000  0.000  0.000
Hg  0.750  0.750  0.750
Al  0.250  0.250  0.250


(14)
The following is a GGA-PBE calculation of a relaxed structure of PuAlHg, from OQMD via LeMat-Bulk.

Its offset from the most stable computed form is 0.000 eV per atom.

Lattice parameters (Å, degrees): 4.846 4.846 4.846 60.00 60.00 60.00
Sites, in units of the cell vectors:
Al  0.250  0.250  0.250
Pu  0.750  0.750  0.750
Hg  0.000  0.000  0.000


(15)
The following is a GGA-PBE calculation of a relaxed structure of PuAlHg, from OQMD via LeMat-Bulk.

Its offset from the most stable computed form is 0.296 eV per atom.

Lattice parameters (Å, degrees): 4.963 4.963 4.963 60.00 60.00 60.00
Sites, in units of the cell vectors:
Al  0.500  0.500  0.500
Hg  0.000  0.000  0.000
Pu  0.250  0.250  0.250


(16)
The following is a GGA-PBE calculation of a relaxed structure of RbAlHg, from OQMD via LeMat-Bulk.

Its offset from the most stable computed form is 0.000 eV per atom.

Lattice parameters (Å, degrees): 5.453 5.453 5.453 60.00 60.00 60.00
Sites, in units of the cell vectors:
Al  0.250  0.250  0.250
Rb  0.750  0.750  0.750
Hg  0.000  0.000  0.000


(17)
The following is a GGA-PBE calculation of a relaxed structure of RbAlHg, from OQMD via LeMat-Bulk.

Its offset from the most stable computed form is 0.046 eV per atom.

Lattice parameters (Å, degrees): 5.424 5.424 5.424 60.00 60.00 60.00
Sites, in units of the cell vectors:
Rb  0.750  0.750  0.750
Hg  0.250  0.250  0.250
Al  0.000  0.000  0.000


(18)
The following is a GGA-PBE calculation of a relaxed structure of Al2HgSe2S2, from OQMD via LeMat-Bulk.

Lattice parameters (Å, degrees): 5.737 5.750 6.608 114.61 115.26 90.05
Sites, in units of the cell vectors:
S  0.409  0.395  0.264
S  0.600  0.151  0.736
Se  0.872  0.865  0.286
Al  0.737  0.253  0.500
Se  0.132  0.592  0.715
Hg  0.999  0.002  0.999
Al  0.501  0.492  0.001


(19)
The following is a GGA-PBE calculation of a relaxed structure of Al2HgSe2S2, from OQMD via LeMat-Bulk.

Lattice parameters (Å, degrees): 6.639 6.639 5.701 114.62 114.62 105.74
Sites, in units of the cell vectors:
S  0.422  0.148  0.523
Se  0.583  0.858  0.956
Al  0.507  0.493  0.500
Hg  0.000  0.000  0.500
S  0.852  0.578  0.477
Al  0.745  0.255  0.000
Se  0.142  0.417  0.044


(20)
The following is a GGA-PBE calculation of a relaxed structure of Al2HgTe3S, from OQMD via LeMat-Bulk.

Lattice parameters (Å, degrees): 6.126 6.192 7.146 115.59 112.91 91.85
Sites, in units of the cell vectors:
Al  0.266  0.730  0.484
Te  0.613  0.146  0.728
S  0.381  0.414  0.256
Hg  0.995  0.000  0.993
Te  0.125  0.581  0.725
Al  0.492  0.498  0.021
Te  0.878  0.881  0.293


(21)
The following is a GGA-PBE calculation of a relaxed structure of ScAlHg2, from OQMD via LeMat-Bulk.

Lattice parameters (Å, degrees): 6.240 6.240 4.817 90.00 90.00 119.10
Sites, in units of the cell vectors:
Hg  0.154  0.344  0.250
Sc  0.337  0.663  0.750
Hg  0.656  0.846  0.250
Hg  0.344  0.154  0.750
Sc  0.663  0.337  0.250
Al  0.844  0.156  0.750
Al  0.156  0.844  0.250
Hg  0.846  0.656  0.750


(22)
The following is a GGA-PBE calculation of a relaxed structure of ScAlHg2, from OQMD via LeMat-Bulk.

Lattice parameters (Å, degrees): 4.834 6.277 6.277 120.61 90.00 90.00
Sites, in units of the cell vectors:
Al  0.250  0.321  0.170
Sc  0.250  0.333  0.663
Hg  0.250  0.844  0.181
Hg  0.750  0.181  0.844
Hg  0.250  0.829  0.660
Sc  0.750  0.663  0.333
Hg  0.750  0.660  0.829
Al  0.750  0.170  0.321


(23)
The following is a GGA-PBE calculation of a relaxed structure of ScAlHg, from OQMD via LeMat-Bulk.

Its offset from the most stable computed form is 0.395 eV per atom.

Lattice parameters (Å, degrees): 4.679 4.679 4.679 60.00 60.00 60.00
Sites, in units of the cell vectors:
Al  0.250  0.250  0.250
Hg  0.750  0.750  0.750
Sc  0.000  0.000  0.000


(24)
The following is a GGA-PBE calculation of a relaxed structure of Sc2AlHg5, from OQMD via LeMat-Bulk.

Lattice parameters (Å, degrees): 4.846 6.349 6.349 60.74 90.00 90.00
Sites, in units of the cell vectors:
Hg  0.000  0.831  0.345
Hg  0.000  0.345  0.831
Hg  0.500  0.153  0.662
Al  0.000  0.841  0.841
Hg  0.500  0.167  0.167
Sc  0.000  0.336  0.336
Sc  0.500  0.665  0.665
Hg  0.500  0.662  0.153


(25)
The following is a GGA-PBE calculation of a relaxed structure of ScAlHg2, from OQMD via LeMat-Bulk.

Lattice parameters (Å, degrees): 4.914 4.914 4.914 60.00 60.00 60.00
Sites, in units of the cell vectors:
Al  0.500  0.500  0.500
Hg  0.750  0.750  0.750
Sc  0.250  0.250  0.250
Hg  0.000  0.000  0.000


(26)
The following is a GGA-PBE calculation of a relaxed structure of ScAlHg2, from OQMD via LeMat-Bulk.

Lattice parameters (Å, degrees): 4.808 6.249 6.249 61.13 90.00 90.00
Sites, in units of the cell vectors:
Hg  0.500  0.174  0.675
Sc  0.500  0.660  0.660
Sc  0.000  0.338  0.338
Al  0.000  0.310  0.850
Hg  0.500  0.675  0.174
Hg  0.000  0.816  0.816
Al  0.000  0.850  0.310
Hg  0.500  0.176  0.176


(27)
The following is a GGA-PBE calculation of a relaxed structure of Sc2AlHg, from OQMD via LeMat-Bulk.

Lattice parameters (Å, degrees): 4.892 4.892 4.892 60.00 60.00 60.00
Sites, in units of the cell vectors:
Hg  0.250  0.250  0.250
Al  0.500  0.500  0.500
Sc  0.750  0.750  0.750
Sc  0.000  0.000  0.000


(28)
The following is a GGA-PBE calculation of a relaxed structure of ScAlHg, from OQMD via LeMat-Bulk.

Its offset from the most stable computed form is 0.000 eV per atom.

Lattice parameters (Å, degrees): 4.561 4.561 4.561 60.00 60.00 60.00
Sites, in units of the cell vectors:
Sc  0.750  0.750  0.750
Hg  0.000  0.000  0.000
Al  0.250  0.250  0.250


(29)
The following is a GGA-PBE calculation of a relaxed structure of Al2HgTeSe3, from OQMD via LeMat-Bulk.

Lattice parameters (Å, degrees): 5.928 6.007 6.880 114.06 114.34 91.33
Sites, in units of the cell vectors:
Se  0.870  0.863  0.278
Hg  0.002  0.997  0.997
Se  0.405  0.408  0.277
Al  0.238  0.733  0.491
Te  0.604  0.142  0.711
Se  0.133  0.593  0.735
Al  0.499  0.515  0.010


For each record above, in turn, the calculated raw total energy values are -3.795 -4.559 -3.938 -4.152 -2.547 -3.271 -2.629 -2.845 -2.629 -3.412 -3.265 -2.618 -3.653 -6.002 -5.706 -1.307 -1.262 -4.044 -4.045 -3.526 -2.895 -2.895 -3.351 -2.458 -2.736 -2.895 -4.180 -3.746 -3.666 eV per atom.